Compound: MnAgHg2
Source: Alexandria
Functional: PBE
Structure: optimized geometry

## Properties
ΔH_f (0 K) in eV per atom: 0.271
Crystal system: cubic
V in A^3/atom: 19.49
Theoretical density in g/cm³: 12.01
E in eV per atom: -2.88

```
data_MnAgHg2
_chemical_formula_sum 'Mn4 Ag4 Hg8'
_cell_length_a 6.781
_cell_length_b 6.781
_cell_length_c 6.781
_cell_angle_alpha 90.00
_cell_angle_beta 90.00
_cell_angle_gamma 90.00
_symmetry_space_group_name_H-M 'F -4 3 m'
_symmetry_Int_Tables_number 216
_symmetry_space_group_name_Hall 'F -4 2 3'
loop_
_atom_site_label
_atom_site_fract_x
_atom_site_fract_y
_atom_site_fract_z
Mn1 0.000 0.000 0.000
Ag1 0.250 0.250 0.750
Hg1 0.000 0.000 0.500
Hg2 0.250 0.250 0.250
```